1.
! TlNiSnS2, relaxed, DFT PBE; values from VASP
&SYSTEM
  ibrav = 0, nat = 5, ntyp = 4
/
ATOMIC_SPECIES
Sn 118.71 Sn.upf
S 32.06 S.upf
Tl 204.38 Tl.upf
Ni 58.69 Ni.upf
CELL_PARAMETERS angstrom
-3.032 2.732 -2.952
-4.081 -0.006 4.186
1.953 4.232 1.910
ATOMIC_POSITIONS crystal
Sn 0.000 0.500 0.000
S 0.500 0.000 0.000
Tl 0.000 0.000 0.000
S 0.000 0.000 0.500
Ni 0.500 0.500 0.500
! Size of the total moment (μB per formula unit): 0.309
! ρ (g cm⁻³): 4.992
! Energy relative to the elements, uncorrected (eV/atom): 1.24
! VASP energy (eV/atom): -2.84



2.
! TbGdH, relaxed, DFT PBE; values from VASP
&SYSTEM
  ibrav = 0, nat = 3, ntyp = 3
/
ATOMIC_SPECIES
Gd 157.25 Gd.upf
Tb 158.93 Tb.upf
H 1.01 H.upf
CELL_PARAMETERS angstrom
-1.584 -1.832 2.713
3.369 -0.868 -1.056
2.119 3.688 3.728
ATOMIC_POSITIONS crystal
Gd 0.333 0.667 0.577
Tb 0.000 0.000 0.091
H 0.667 0.333 0.332
! Offset from the most stable computed form (meV/atom): 0
! Size of the total moment (μB per formula unit): 7.376
! ρ (g cm⁻³): 8.132
! VASP energy (eV/atom): -7.60



3.
! K2NpGeTe4, relaxed, DFT PBE; values from VASP
&SYSTEM
  ibrav = 0, nat = 8, ntyp = 4
/
ATOMIC_SPECIES
Te 127.60 Te.upf
Ge 72.64 Ge.upf
Np 237.00 Np.upf
K 39.10 K.upf
CELL_PARAMETERS angstrom
4.510 0.000 0.000
0.000 8.466 -0.428
0.000 2.720 7.350
ATOMIC_POSITIONS crystal
Te 0.000 0.697 0.766
Ge 0.500 0.500 0.000
Np 0.000 0.500 0.500
Te 0.500 0.702 0.263
Te 0.000 0.303 0.234
K 0.500 0.000 0.500
K 0.000 0.000 0.000
Te 0.500 0.298 0.737
! Size of the total moment (μB per formula unit): 2.998
! ρ (g cm⁻³): 5.217
! Energy relative to the elements, uncorrected (eV/atom): -0.69
! VASP energy (eV/atom): -4.73



4.
! CaPmSbAs, relaxed, DFT PBE; values from VASP
&SYSTEM
  ibrav = 0, nat = 4, ntyp = 4
/
ATOMIC_SPECIES
Sb 121.76 Sb.upf
Pm 145.00 Pm.upf
As 74.92 As.upf
Ca 40.08 Ca.upf
CELL_PARAMETERS angstrom
5.344 0.000 0.000
2.672 4.628 0.000
2.672 1.543 4.363
ATOMIC_POSITIONS crystal
Sb 0.500 0.500 0.500
Pm 0.250 0.250 0.250
As 0.000 0.000 0.000
Ca 0.750 0.750 0.750
! Size of the total moment (μB per formula unit): 0.000
! ρ (g cm⁻³): 5.875
! Energy relative to the elements, uncorrected (eV/atom): -0.87
! VASP energy (eV/atom): -4.75